Li4Mn3V3Fe2O16 | GGA+U | relaxed

extended XYZ file:
```
28
Lattice="-2.2386 1.5300 5.2673 -5.7038 1.2741 0.5589 -1.8738 -9.1961 2.0694" Properties=species:S:1:pos:R:3 pbc="T T T"
O -3.2325 -0.8477 0.7915
O -4.1206 -0.1593 3.1143
Li -6.6665 -3.3660 1.6433
O -1.5182 -0.6996 2.7047
O -8.2611 1.0397 6.2158
O -6.9799 -6.3994 5.6801
Fe -2.6763 0.8567 1.9363
Mn -4.6751 -1.5219 1.8668
Fe -6.2853 -2.7926 4.9671
Li -5.4910 0.9002 4.0783
O -5.3818 -4.6578 4.3541
O -6.2694 -3.9968 6.7219
V -5.2980 -5.5291 6.2291
O -7.4298 -1.3277 5.7681
Mn -8.0582 -4.9134 6.4429
Li -7.9265 2.7526 5.8038
O -7.8817 -4.0716 4.6667
O -4.1967 -6.9952 5.4997
O -6.9825 -5.0867 1.9951
V -1.8692 -2.1443 1.5974
O -3.4238 -2.6685 2.7791
O -6.2077 -2.0691 3.0260
Mn -2.9748 -1.4116 4.1878
O -2.9493 -7.7837 2.8070
Li -3.7638 -4.6307 3.2075
O -5.8810 -7.1552 3.0571
V -6.8984 -5.6436 3.8608
O -4.5838 -1.9481 5.6039
```

Computed properties:
DFT total energy	-192.543	eV per cell
calculated volume	287.9	Å³ per cell